Record 1
Compound: Y3Pd5Au
Source: the Alexandria database
Functional: PBE
Structure: optimized geometry

Summary:
The formation enthalpy at 0 K is -4.6 eV/f.u. For the energy above the lowest structure with this stoichiometry, the calculation gives 310 meV per atom. The value obtained for the total magnetization is 0.00 μB per atom.

a = 8.3590 Å, b = 8.3590 Å, c = 8.0790 Å
α = 121.15°, β = 121.15°, γ = 90.00°
Atoms (fractional coordinates):
Y (0.6272, 0.1272, 0.0000)
Y (0.3728, 0.8728, 0.0000)
Y (0.8728, 0.6272, 0.0000)
Y (0.1272, 0.3728, 0.0000)
Y (0.2500, 0.2500, 0.5000)
Y (0.7500, 0.7500, 0.5000)
Pd (0.0602, 0.5602, 0.7289)
Pd (0.6687, 0.1687, 0.7289)
Pd (0.1687, 0.0602, 0.7289)
Pd (0.5602, 0.6687, 0.7289)
Pd (0.9398, 0.4398, 0.2711)
Pd (0.3313, 0.8313, 0.2711)
Pd (0.8313, 0.9398, 0.2711)
Pd (0.4398, 0.3313, 0.2711)
Pd (0.5000, 0.5000, 0.0000)
Pd (0.0000, 0.0000, 0.0000)
Au (0.7500, 0.2500, 0.5000)
Au (0.2500, 0.7500, 0.5000)

***

Record 2
Compound: Y3Pd2Au3
Source: the Alexandria database
Functional: PBE
Structure: optimized geometry

Summary:
The formation enthalpy at 0 K is -7.0 eV/f.u. The value obtained for the total magnetization is 0.00 μB per atom.

a = 3.6621 Å, b = 7.3996 Å, c = 7.3996 Å
α = 120.00°, β = 90.00°, γ = 90.00°
Atoms (fractional coordinates):
Y (0.5000, 0.3938, 0.3938)
Y (0.5000, 0.6062, 0.0000)
Y (0.5000, 0.0000, 0.6062)
Pd (0.0000, 0.3333, 0.6667)
Pd (0.0000, 0.6667, 0.3333)
Au (0.0000, 0.7645, 0.7645)
Au (0.0000, 0.2355, 0.0000)
Au (0.0000, 0.0000, 0.2355)

***

Record 3
Compound: YPd6Au6
Source: the Alexandria database
Functional: PBE
Structure: optimized geometry

Summary:
The formation enthalpy at 0 K is -3.5 eV/f.u. The value obtained for the total magnetization is 0.00 μB per atom.

a = 5.4683 Å, b = 7.1032 Å, c = 7.1032 Å
α = 81.07°, β = 67.36°, γ = 67.36°
Atoms (fractional coordinates):
Y (0.0000, 0.0000, 0.0000)
Pd (0.0000, 0.5000, 0.0000)
Pd (0.5000, 0.5000, 0.0000)
Pd (0.0000, 0.0000, 0.5000)
Pd (0.5000, 0.0000, 0.5000)
Pd (0.5000, 0.7646, 0.2354)
Pd (0.5000, 0.2354, 0.7646)
Au (0.3419, 0.6581, 0.6581)
Au (0.6581, 0.3419, 0.3419)
Au (0.0000, 0.3338, 0.6662)
Au (0.0000, 0.6662, 0.3338)
Au (0.3118, 0.1882, 0.1882)
Au (0.6882, 0.8118, 0.8118)

***

Record 4
Compound: Y3Pd5Au
Source: the Alexandria database
Functional: PBE
Structure: optimized geometry

Summary:
The formation enthalpy at 0 K is -7.4 eV/f.u. For the energy above the lowest structure with this stoichiometry, the calculation gives 0 meV per atom. The value obtained for the total magnetization is 0.00 μB per atom.

a = 5.7368 Å, b = 8.4394 Å, c = 8.4397 Å
α = 120.00°, β = 90.00°, γ = 90.00°
Atoms (fractional coordinates):
Y (0.7500, 0.3501, 0.3501)
Y (0.7500, 0.0000, 0.6499)
Y (0.7500, 0.6499, 0.0000)
Y (0.2500, 0.6499, 0.6499)
Y (0.2500, 0.0000, 0.3501)
Y (0.2500, 0.3501, 0.0000)
Pd (0.0000, 0.6667, 0.3333)
Pd (0.5000, 0.3333, 0.6667)
Pd (0.0000, 0.3333, 0.6667)
Pd (0.5000, 0.6667, 0.3333)
Pd (0.7500, 0.6821, 0.6822)
Pd (0.7500, 0.0000, 0.3178)
Pd (0.7500, 0.3179, 0.0000)
Pd (0.2500, 0.3179, 0.3178)
Pd (0.2500, 0.0000, 0.6822)
Pd (0.2500, 0.6821, 0.0000)
Au (0.0000, 0.0000, 0.0000)
Au (0.5000, 0.0000, 0.0000)

***

Record 5
Compound: YPd5Au8
Source: the Alexandria database
Functional: PBE
Structure: optimized geometry

Summary:
The formation enthalpy at 0 K is -1.9 eV/f.u. The value obtained for the total magnetization is 0.00 μB per atom.

a = 7.0002 Å, b = 7.0002 Å, c = 7.0002 Å
α = 111.12°, β = 106.21°, γ = 111.12°
Atoms (fractional coordinates):
Y (0.2500, 0.5000, 0.7500)
Pd (0.0481, 0.3366, 0.1303)
Pd (0.8697, 0.9178, 0.2062)
Pd (0.7938, 0.6634, 0.7116)
Pd (0.5000, 0.0000, 0.5000)
Pd (0.2884, 0.0822, 0.9519)
Au (0.1329, 0.7319, 0.0820)
Au (0.9180, 0.0508, 0.6498)
Au (0.7508, 0.2682, 0.3500)
Au (0.6500, 0.4008, 0.9182)
Au (0.5174, 0.5992, 0.2492)
Au (0.5990, 0.9492, 0.8671)
Au (0.3502, 0.2681, 0.4010)
Au (0.0818, 0.7318, 0.4826)

***

Record 6
Compound: YPd2Au3
Source: the Alexandria database
Functional: PBE
Structure: optimized geometry

Summary:
The formation enthalpy at 0 K is -3.0 eV/f.u. The value obtained for the total magnetization is 0.00 μB per atom.

a = 5.1864 Å, b = 5.1864 Å, c = 9.2574 Å
α = 100.01°, β = 100.01°, γ = 110.94°
Atoms (fractional coordinates):
Y (0.1257, 0.8743, 0.2500)
Y (0.8743, 0.1257, 0.7500)
Pd (0.0442, 0.2962, 0.0934)
Pd (0.7038, 0.9558, 0.4066)
Pd (0.9558, 0.7038, 0.9066)
Pd (0.2962, 0.0442, 0.5934)
Au (0.2136, 0.4620, 0.4287)
Au (0.5380, 0.7864, 0.0713)
Au (0.7864, 0.5380, 0.5713)
Au (0.4620, 0.2136, 0.9287)
Au (0.6225, 0.3775, 0.2500)
Au (0.3775, 0.6225, 0.7500)

***

Record 7
Compound: YPd4Au2
Source: the Alexandria database
Functional: PBE
Structure: optimized geometry

Summary:
The formation enthalpy at 0 K is 2.9 eV/f.u. For the energy above the lowest structure with this stoichiometry, the calculation gives 876 meV per atom. The value obtained for the total magnetization is 0.00 μB per atom.

a = 5.0165 Å, b = 5.0165 Å, c = 7.5012 Å
α = 70.47°, β = 70.47°, γ = 90.00°
Atoms (fractional coordinates):
Y (0.0000, 0.0000, 0.0000)
Au (0.3957, 0.3957, 0.2087)
Au (0.6043, 0.6043, 0.7913)
Pd (0.1946, 0.1946, 0.6109)
Pd (0.8054, 0.8054, 0.3891)
Pd (0.0000, 0.5000, 0.0000)
Pd (0.5000, 0.0000, 0.0000)

***

Record 8
Compound: Y2Pd3Au
Source: the Alexandria database
Functional: PBE
Structure: optimized geometry

Summary:
The formation enthalpy at 0 K is -3.1 eV/f.u. For the energy above the lowest structure with this stoichiometry, the calculation gives 125 meV per atom. The value obtained for the total magnetization is 0.00 μB per atom.

a = 7.7503 Å, b = 8.1910 Å, c = 7.1864 Å
α = 124.74°, β = 122.63°, γ = 90.00°
Atoms (fractional coordinates):
Y (0.5157, 0.3177, 0.6354)
Y (0.8802, 0.1823, 0.3646)
Y (0.1198, 0.8177, 0.6354)
Y (0.4843, 0.6823, 0.3646)
Pd (0.5000, 0.2500, 0.0000)
Pd (0.5000, 0.7500, 0.0000)
Pd (0.8050, 0.0550, 0.6101)
Pd (0.1950, 0.4450, 0.3899)
Pd (0.1950, 0.9450, 0.3899)
Pd (0.8050, 0.5550, 0.6101)
Au (0.0000, 0.5000, 0.0000)
Au (0.0000, 0.0000, 0.0000)